[1]
# AlSnW3 GGA-PBE optimized geometry
# E (Ry/atom): -0.559
# Offset from the most stable computed form (meV per atom): 0
# Total magnetization (μB per atom): 0.00
# Calculated formation energy (eV/f.u.): 8.59
# Volume (Å³ per atom): 19.3
data_AlSnW3
_chemical_formula_sum 'Al1 Sn1 W3'
_cell_length_a 4.587
_cell_length_b 4.587
_cell_length_c 4.587
_cell_angle_alpha 90.00
_cell_angle_beta 90.00
_cell_angle_gamma 90.00
_symmetry_space_group_name_H-M 'P m -3 m'
_symmetry_Int_Tables_number 221
_symmetry_space_group_name_Hall '-P 4 2 3'
loop_
_atom_site_label
_atom_site_type_symbol
_atom_site_fract_x
_atom_site_fract_y
_atom_site_fract_z
Al1 Al 0.000 0.000 0.000
Sn1 Sn 0.500 0.500 0.500
W1 W 0.000 0.000 0.500

[2]
# CsRb2AlSb2 GGA-PBE optimized geometry
# E (Ry/atom): -0.211
# Formation energy (no corrections) (eV per formula unit): -2.436
# Total magnetization (μB per atom): 0.00
# Volume (Å³ per atom): 44.3
data_CsRb2AlSb2
_chemical_formula_sum 'Cs4 Rb8 Al4 Sb8'
_cell_length_a 9.349
_cell_length_b 15.213
_cell_length_c 7.467
_cell_angle_alpha 90.00
_cell_angle_beta 90.00
_cell_angle_gamma 90.00
_symmetry_space_group_name_H-M 'I b a m'
_symmetry_Int_Tables_number 72
_symmetry_space_group_name_Hall '-I 2 2c'
loop_
_atom_site_label
_atom_site_type_symbol
_atom_site_fract_x
_atom_site_fract_y
_atom_site_fract_z
Cs1 Cs 0.000 0.000 0.250
Rb1 Rb 0.183 0.321 0.000
Al1 Al 0.000 0.500 0.250
Sb1 Sb 0.170 0.412 0.500